No. 1
Below is a relaxed LiErNiGe crystal, with properties calculated at the PBE level.

Calculated values
Crystal system: cubic
Calculated density, g/cm3: 8.25
Spin magnetization, μB/f.u.: 0.00
DFT formation energy, kJ/mol of formula units: -218

Structure (CIF):
```
data_LiErNiGe
_symmetry_space_group_name_H-M 'F -4 3 m'
_symmetry_Int_Tables_number 216
_symmetry_space_group_name_Hall 'F -4 2 3'
_cell_length_a 6.266
_cell_length_b 6.266
_cell_length_c 6.266
_cell_angle_alpha 90.00
_cell_angle_beta 90.00
_cell_angle_gamma 90.00
loop_
_atom_site_label
_atom_site_type_symbol
_atom_site_fract_x
_atom_site_fract_y
_atom_site_fract_z
Li1 Li 0.000 0.000 0.000
Er1 Er 0.250 0.250 0.250
Ni1 Ni 0.000 0.000 0.500
Ge1 Ge 0.250 0.250 0.750
```

=====

No. 2
Below is a relaxed LiEr2Ni3Ge4 crystal, with properties calculated at the PBE level.

Calculated values
Crystal system: tetragonal
Calculated density, g/cm3: 8.25
Spin magnetization, μB/f.u.: 0.00
DFT formation energy, kJ/mol of formula units: -609

Structure (CIF):
```
data_LiEr2Ni3Ge4
_symmetry_space_group_name_H-M 'P -4 m 2'
_symmetry_Int_Tables_number 115
_symmetry_space_group_name_Hall 'P -4 -2'
_cell_length_a 4.073
_cell_length_b 4.073
_cell_length_c 9.803
_cell_angle_alpha 90.00
_cell_angle_beta 90.00
_cell_angle_gamma 90.00
loop_
_atom_site_label
_atom_site_type_symbol
_atom_site_fract_x
_atom_site_fract_y
_atom_site_fract_z
Li1 Li 0.000 0.000 0.000
Er1 Er 0.000 0.500 0.749
Ni1 Ni 0.000 0.500 0.375
Ni2 Ni 0.500 0.500 0.000
Ge1 Ge 0.000 0.000 0.500
Ge2 Ge 0.000 0.500 0.137
Ge3 Ge 0.500 0.500 0.500
```

=====

No. 3
Below is a relaxed Li3Er3GeO8 crystal, with properties calculated at the PBE level.

Calculated values
Crystal system: trigonal
Energy, eV/atom: -6.891
Calculated density, g/cm3: 6.59
Spin magnetization, μB/f.u.: 0.00

Structure (CIF):
```
data_Li3Er3GeO8
_symmetry_space_group_name_H-M 'R -3 m'
_symmetry_Int_Tables_number 166
_symmetry_space_group_name_Hall '-R 3 2"'
_cell_length_a 6.5334
_cell_length_b 6.5334
_cell_length_c 14.8008
_cell_angle_alpha 90.00
_cell_angle_beta 90.00
_cell_angle_gamma 120.00
loop_
_atom_site_label
_atom_site_type_symbol
_atom_site_fract_x
_atom_site_fract_y
_atom_site_fract_z
Li1 Li 0.0000 0.5000 0.0000
Er1 Er 0.0000 0.5000 0.5000
Ge1 Ge 0.0000 0.0000 0.5000
O1 O 0.0000 0.0000 0.2432
O2 O 0.0415 0.5208 0.2403
```

=====

No. 4
Below is a relaxed LiErGeO4 crystal, with properties calculated at the PBE level.

Calculated values
Crystal system: orthorhombic
Energy, eV/atom: -6.844
Calculated density, g/cm3: 6.18
Spin magnetization, μB/f.u.: 0.00

Structure (CIF):
```
data_LiErGeO4
_symmetry_space_group_name_H-M 'I m m a'
_symmetry_Int_Tables_number 74
_symmetry_space_group_name_Hall '-I 2b 2'
_cell_length_a 6.002
_cell_length_b 6.709
_cell_length_c 8.302
_cell_angle_alpha 90.00
_cell_angle_beta 90.00
_cell_angle_gamma 90.00
loop_
_atom_site_label
_atom_site_type_symbol
_atom_site_fract_x
_atom_site_fract_y
_atom_site_fract_z
Li1 Li 0.250 0.250 0.250
Er1 Er 0.000 0.000 0.000
Ge1 Ge 0.000 0.250 0.618
O1 O 0.000 0.027 0.734
O2 O 0.249 0.250 0.491
```

=====

No. 5
Below is a relaxed Li2ErGeO4 crystal, with properties calculated at the PBE level.

Calculated values
Crystal system: tetragonal
Energy, eV/atom: -6.296
Calculated density, g/cm3: 5.86
Spin magnetization, μB/f.u.: 0.00

Structure (CIF):
```
data_Li2ErGeO4
_symmetry_space_group_name_H-M 'I -4 m 2'
_symmetry_Int_Tables_number 119
_symmetry_space_group_name_Hall 'I -4 -2'
_cell_length_a 4.361
_cell_length_b 4.361
_cell_length_c 9.464
_cell_angle_alpha 90.00
_cell_angle_beta 90.00
_cell_angle_gamma 90.00
loop_
_atom_site_label
_atom_site_type_symbol
_atom_site_fract_x
_atom_site_fract_y
_atom_site_fract_z
Li1 Li 0.000 0.000 0.000
Li2 Li 0.000 0.500 0.250
Er1 Er 0.000 0.500 0.750
Ge1 Ge 0.000 0.000 0.500
O1 O 0.000 0.000 0.277
O2 O 0.000 0.500 0.507
```

=====

No. 6
Below is a relaxed LiErGePb crystal, with properties calculated at the PBE level.

Calculated values
Crystal system: cubic
Calculated density, g/cm3: 8.13
Spin magnetization, μB/f.u.: 0.00
DFT formation energy, kJ/mol of formula units: -114

Structure (CIF):
```
data_LiErGePb
_symmetry_space_group_name_H-M 'F -4 3 m'
_symmetry_Int_Tables_number 216
_symmetry_space_group_name_Hall 'F -4 2 3'
_cell_length_a 7.186
_cell_length_b 7.186
_cell_length_c 7.186
_cell_angle_alpha 90.00
_cell_angle_beta 90.00
_cell_angle_gamma 90.00
loop_
_atom_site_label
_atom_site_type_symbol
_atom_site_fract_x
_atom_site_fract_y
_atom_site_fract_z
Li1 Li 0.000 0.000 0.000
Er1 Er 0.000 0.000 0.500
Ge1 Ge 0.250 0.250 0.250
Pb1 Pb 0.250 0.250 0.750
```

=====

No. 7
Below is a relaxed LiEr2Ge4Pd3 crystal, with properties calculated at the PBE level.

Calculated values
Crystal system: tetragonal
Calculated density, g/cm3: 8.63
Spin magnetization, μB/f.u.: 0.00
DFT formation energy, kJ/mol of formula units: -675

Structure (CIF):
```
data_LiEr2Ge4Pd3
_symmetry_space_group_name_H-M 'P -4 m 2'
_symmetry_Int_Tables_number 115
_symmetry_space_group_name_Hall 'P -4 -2'
_cell_length_a 4.059
_cell_length_b 4.059
_cell_length_c 11.117
_cell_angle_alpha 90.00
_cell_angle_beta 90.00
_cell_angle_gamma 90.00
loop_
_atom_site_label
_atom_site_type_symbol
_atom_site_fract_x
_atom_site_fract_y
_atom_site_fract_z
Li1 Li 0.000 0.000 0.000
Er1 Er 0.000 0.500 0.762
Ge1 Ge 0.000 0.000 0.500
Ge2 Ge 0.000 0.500 0.137
Ge3 Ge 0.500 0.500 0.500
Pd1 Pd 0.000 0.500 0.358
Pd2 Pd 0.500 0.500 0.000
```

=====

No. 8
Below is a relaxed LiErGe2Pd5 crystal, with properties calculated at the PBE level.

Calculated values
Crystal system: tetragonal
Calculated density, g/cm3: 9.25
Spin magnetization, μB/f.u.: 0.00
DFT formation energy, kJ/mol of formula units: -525

Structure (CIF):
```
data_LiErGe2Pd5
_symmetry_space_group_name_H-M 'P 4/m m m'
_symmetry_Int_Tables_number 123
_symmetry_space_group_name_Hall '-P 4 2'
_cell_length_a 4.294
_cell_length_b 4.294
_cell_length_c 8.293
_cell_angle_alpha 90.00
_cell_angle_beta 90.00
_cell_angle_gamma 90.00
loop_
_atom_site_label
_atom_site_type_symbol
_atom_site_fract_x
_atom_site_fract_y
_atom_site_fract_z
Li1 Li 0.000 0.000 0.000
Er1 Er 0.000 0.000 0.500
Ge1 Ge 0.500 0.500 0.351
Pd1 Pd 0.000 0.500 0.212
Pd2 Pd 0.500 0.500 0.000
```

=====

No. 9
Below is a relaxed Li2PmErGe2 crystal, with properties calculated at the PBE level.

Calculated values
Crystal system: trigonal
Calculated density, g/cm3: 6.33
Spin magnetization, μB/f.u.: 0.00
DFT formation energy, kJ/mol of formula units: -395

Structure (CIF):
```
data_Li2PmErGe2
_symmetry_space_group_name_H-M 'P -3 m 1'
_symmetry_Int_Tables_number 164
_symmetry_space_group_name_Hall '-P 3 2"'
_cell_length_a 4.4316
_cell_length_b 4.4316
_cell_length_c 7.2747
_cell_angle_alpha 90.00
_cell_angle_beta 90.00
_cell_angle_gamma 120.00
loop_
_atom_site_label
_atom_site_type_symbol
_atom_site_fract_x
_atom_site_fract_y
_atom_site_fract_z
Li1 Li 0.3333 0.6667 0.2216
Pm1 Pm 0.0000 0.0000 0.5000
Er1 Er 0.0000 0.0000 0.0000
Ge1 Ge 0.3333 0.6667 0.7612
```

=====

No. 10
Below is a relaxed Li2PrErGe2 crystal, with properties calculated at the PBE level.

Calculated values
Crystal system: trigonal
Calculated density, g/cm3: 6.14
Spin magnetization, μB/f.u.: 0.00
DFT formation energy, kJ/mol of formula units: -391

Structure (CIF):
```
data_Li2PrErGe2
_symmetry_space_group_name_H-M 'P -3 m 1'
_symmetry_Int_Tables_number 164
_symmetry_space_group_name_Hall '-P 3 2"'
_cell_length_a 4.4550
_cell_length_b 4.4550
_cell_length_c 7.3543
_cell_angle_alpha 90.00
_cell_angle_beta 90.00
_cell_angle_gamma 120.00
loop_
_atom_site_label
_atom_site_type_symbol
_atom_site_fract_x
_atom_site_fract_y
_atom_site_fract_z
Li1 Li 0.3333 0.6667 0.2116
Pr1 Pr 0.0000 0.0000 0.5000
Er1 Er 0.0000 0.0000 0.0000
Ge1 Ge 0.3333 0.6667 0.7664
```

=====

No. 11
Below is a relaxed Li2PrEr2Ge2 crystal, with properties calculated at the PBE level.

Calculated values
Crystal system: trigonal
Calculated density, g/cm3: 6.67
Spin magnetization, μB/f.u.: 0.00
DFT formation energy, kJ/mol of formula units: -328

Structure (CIF):
```
data_Li2PrEr2Ge2
_symmetry_space_group_name_H-M 'R -3 m'
_symmetry_Int_Tables_number 166
_symmetry_space_group_name_Hall '-R 3 2"'
_cell_length_a 4.5193
_cell_length_b 4.5193
_cell_length_c 26.7901
_cell_angle_alpha 90.00
_cell_angle_beta 90.00
_cell_angle_gamma 120.00
loop_
_atom_site_label
_atom_site_type_symbol
_atom_site_fract_x
_atom_site_fract_y
_atom_site_fract_z
Li1 Li 0.0000 0.0000 0.0916
Pr1 Pr 0.0000 0.0000 0.5000
Er1 Er 0.0000 0.0000 0.3711
Ge1 Ge 0.0000 0.0000 0.2426
```

=====

No. 12
Below is a relaxed LiPrErGe crystal, with properties calculated at the PBE level.

Calculated values
Crystal system: cubic
Calculated density, g/cm3: 6.83
Spin magnetization, μB/f.u.: 0.00
DFT formation energy, kJ/mol of formula units: -154

Structure (CIF):
```
data_LiPrErGe
_symmetry_space_group_name_H-M 'F -4 3 m'
_symmetry_Int_Tables_number 216
_symmetry_space_group_name_Hall 'F -4 2 3'
_cell_length_a 7.225
_cell_length_b 7.225
_cell_length_c 7.225
_cell_angle_alpha 90.00
_cell_angle_beta 90.00
_cell_angle_gamma 90.00
loop_
_atom_site_label
_atom_site_type_symbol
_atom_site_fract_x
_atom_site_fract_y
_atom_site_fract_z
Li1 Li 0.000 0.000 0.000
Pr1 Pr 0.250 0.250 0.750
Er1 Er 0.250 0.250 0.250
Ge1 Ge 0.000 0.000 0.500
```

=====

No. 13
Below is a relaxed LiErGePt crystal, with properties calculated at the PBE level.

Calculated values
Crystal system: cubic
Calculated density, g/cm3: 10.71
Spin magnetization, μB/f.u.: 0.00
DFT formation energy, kJ/mol of formula units: -329

Structure (CIF):
```
data_LiErGePt
_symmetry_space_group_name_H-M 'F -4 3 m'
_symmetry_Int_Tables_number 216
_symmetry_space_group_name_Hall 'F -4 2 3'
_cell_length_a 6.496
_cell_length_b 6.496
_cell_length_c 6.496
_cell_angle_alpha 90.00
_cell_angle_beta 90.00
_cell_angle_gamma 90.00
loop_
_atom_site_label
_atom_site_type_symbol
_atom_site_fract_x
_atom_site_fract_y
_atom_site_fract_z
Li1 Li 0.000 0.000 0.000
Er1 Er 0.250 0.250 0.750
Ge1 Ge 0.250 0.250 0.250
Pt1 Pt 0.000 0.000 0.500
```

=====

No. 14
Below is a relaxed LiErGe2Pt2 crystal, with properties calculated at the PBE level.

Calculated values
Crystal system: trigonal
Calculated density, g/cm3: 11.25
Spin magnetization, μB/f.u.: 0.00
DFT formation energy, kJ/mol of formula units: -512

Structure (CIF):
```
data_LiErGe2Pt2
_symmetry_space_group_name_H-M 'P -3 m 1'
_symmetry_Int_Tables_number 164
_symmetry_space_group_name_Hall '-P 3 2"'
_cell_length_a 4.3593
_cell_length_b 4.3593
_cell_length_c 6.3655
_cell_angle_alpha 90.00
_cell_angle_beta 90.00
_cell_angle_gamma 120.00
loop_
_atom_site_label
_atom_site_type_symbol
_atom_site_fract_x
_atom_site_fract_y
_atom_site_fract_z
Li1 Li 0.0000 0.0000 0.0000
Er1 Er 0.0000 0.0000 0.5000
Ge1 Ge 0.3333 0.6667 0.7947
Pt1 Pt 0.3333 0.6667 0.2187
```

=====

No. 15
Below is a relaxed LiErGePt3 crystal, with properties calculated at the PBE level.

Calculated values
Crystal system: orthorhombic
Calculated density, g/cm3: 13.31
Spin magnetization, μB/f.u.: 0.00
DFT formation energy, kJ/mol of formula units: -413

Structure (CIF):
```
data_LiErGePt3
_symmetry_space_group_name_H-M 'C m c m'
_symmetry_Int_Tables_number 63
_symmetry_space_group_name_Hall '-C 2c 2'
_cell_length_a 5.648
_cell_length_b 12.880
_cell_length_c 5.706
_cell_angle_alpha 90.00
_cell_angle_beta 90.00
_cell_angle_gamma 90.00
loop_
_atom_site_label
_atom_site_type_symbol
_atom_site_fract_x
_atom_site_fract_y
_atom_site_fract_z
Li1 Li 0.000 0.124 0.250
Er1 Er 0.000 0.336 0.250
Ge1 Ge 0.000 0.380 0.750
Pt1 Pt 0.000 0.189 0.750
Pt2 Pt 0.239 0.000 0.000
```

=====

No. 16
Below is a relaxed LiErGeRh crystal, with properties calculated at the PBE level.

Calculated values
Crystal system: cubic
Calculated density, g/cm3: 8.69
Spin magnetization, μB/f.u.: 0.00
DFT formation energy, kJ/mol of formula units: -255

Structure (CIF):
```
data_LiErGeRh
_symmetry_space_group_name_H-M 'F -4 3 m'
_symmetry_Int_Tables_number 216
_symmetry_space_group_name_Hall 'F -4 2 3'
_cell_length_a 6.442
_cell_length_b 6.442
_cell_length_c 6.442
_cell_angle_alpha 90.00
_cell_angle_beta 90.00
_cell_angle_gamma 90.00
loop_
_atom_site_label
_atom_site_type_symbol
_atom_site_fract_x
_atom_site_fract_y
_atom_site_fract_z
Li1 Li 0.000 0.000 0.000
Er1 Er 0.250 0.250 0.750
Ge1 Ge 0.250 0.250 0.250
Rh1 Rh 0.000 0.000 0.500
```

=====

No. 17
Below is a relaxed LiErGe2Rh crystal, with properties calculated at the PBE level.

Calculated values
Crystal system: tetragonal
Calculated density, g/cm3: 8.04
Spin magnetization, μB/f.u.: 0.00
DFT formation energy, kJ/mol of formula units: -335

Structure (CIF):
```
data_LiErGe2Rh
_symmetry_space_group_name_H-M 'I -4 m 2'
_symmetry_Int_Tables_number 119
_symmetry_space_group_name_Hall 'I -4 -2'
_cell_length_a 4.021
_cell_length_b 4.021
_cell_length_c 10.786
_cell_angle_alpha 90.00
_cell_angle_beta 90.00
_cell_angle_gamma 90.00
loop_
_atom_site_label
_atom_site_type_symbol
_atom_site_fract_x
_atom_site_fract_y
_atom_site_fract_z
Li1 Li 0.000 0.000 0.000
Er1 Er 0.000 0.500 0.250
Ge1 Ge 0.000 0.500 0.635
Rh1 Rh 0.000 0.000 0.500
```

=====

No. 18
Below is a relaxed LiErGeRu crystal, with properties calculated at the PBE level.

Calculated values
Crystal system: cubic
Calculated density, g/cm3: 8.72
Spin magnetization, μB/f.u.: 0.00
DFT formation energy, kJ/mol of formula units: -146

Structure (CIF):
```
data_LiErGeRu
_symmetry_space_group_name_H-M 'F -4 3 m'
_symmetry_Int_Tables_number 216
_symmetry_space_group_name_Hall 'F -4 2 3'
_cell_length_a 6.423
_cell_length_b 6.423
_cell_length_c 6.423
_cell_angle_alpha 90.00
_cell_angle_beta 90.00
_cell_angle_gamma 90.00
loop_
_atom_site_label
_atom_site_type_symbol
_atom_site_fract_x
_atom_site_fract_y
_atom_site_fract_z
Li1 Li 0.000 0.000 0.000
Er1 Er 0.250 0.250 0.250
Ge1 Ge 0.250 0.250 0.750
Ru1 Ru 0.000 0.000 0.500
```

=====

No. 19
Below is a relaxed Li4Er3GeS8 crystal, with properties calculated at the PBE level.

Calculated values
Crystal system: trigonal
Energy, eV/atom: -5.214
Calculated density, g/cm3: 4.57
Spin magnetization, μB/f.u.: 0.00

Structure (CIF):
```
data_Li4Er3GeS8
_symmetry_space_group_name_H-M 'R -3 m'
_symmetry_Int_Tables_number 166
_symmetry_space_group_name_Hall '-R 3 2"'
_cell_length_a 7.6652
_cell_length_b 7.6652
_cell_length_c 18.4107
_cell_angle_alpha 90.00
_cell_angle_beta 90.00
_cell_angle_gamma 120.00
loop_
_atom_site_label
_atom_site_type_symbol
_atom_site_fract_x
_atom_site_fract_y
_atom_site_fract_z
Li1 Li 0.0000 0.0000 0.0000
Li2 Li 0.0000 0.5000 0.0000
Er1 Er 0.0000 0.5000 0.5000
Ge1 Ge 0.0000 0.0000 0.5000
S1 S 0.0000 0.0000 0.2503
S2 S 0.0120 0.5060 0.2482
```

=====

No. 20
Below is a relaxed Li2ErSiGe2 crystal, with properties calculated at the PBE level.

Calculated values
Crystal system: orthorhombic
Energy, eV/atom: -4.256
Calculated density, g/cm3: 5.06
Spin magnetization, μB/f.u.: 0.00

Structure (CIF):
```
data_Li2ErSiGe2
_symmetry_space_group_name_H-M 'P m c 21'
_symmetry_Int_Tables_number 26
_symmetry_space_group_name_Hall 'P 2c -2'
_cell_length_a 4.002
_cell_length_b 7.681
_cell_length_c 7.571
_cell_angle_alpha 90.00
_cell_angle_beta 90.00
_cell_angle_gamma 90.00
loop_
_atom_site_label
_atom_site_type_symbol
_atom_site_fract_x
_atom_site_fract_y
_atom_site_fract_z
Li1 Li 0.000 0.102 0.000
Li2 Li 0.500 0.144 0.339
Er1 Er 0.500 0.476 0.001
Si1 Si 0.000 0.347 0.738
Ge1 Ge 0.000 0.343 0.262
Ge2 Ge 0.500 0.165 0.703
```